The following is a PBE+U calculation of a relaxed RbPrCoO3 crystal, from OQMD.

a b c (Å): 6.414 6.414 9.575
angles (deg): 90.00 90.00 146.96
Positions (direct):
Rb (0.235, 0.765, 0.750)
Rb (0.765, 0.235, 0.250)
Pr (0.500, 0.500, 0.000)
Pr (0.500, 0.500, 0.500)
Co (0.038, 0.962, 0.250)
Co (0.962, 0.038, 0.750)
O (0.112, 0.888, 0.074)
O (0.112, 0.888, 0.426)
O (0.456, 0.544, 0.250)
O (0.544, 0.456, 0.750)
O (0.888, 0.112, 0.574)
O (0.888, 0.112, 0.926)

For the raw total energy, the calculation gives -6.25 eV/atom. The space-group type is Cmcm.